A plane-wave DFT calculation with PBE-GGA was carried out for TaNbMoW after structural relaxation.

Lattice parameters (Å, degrees): 4.572 4.572 4.572 60.00 60.00 60.00
Sites, in units of the cell vectors:
W: 0.250 0.250 0.250
Nb: 0.000 0.000 0.000
Mo: 0.500 0.500 0.500
Ta: 0.750 0.750 0.750

## Properties
Its total magnetization is 0.0033 μB/atom. The value obtained for the calculated density is 13.60 g cm⁻³. Its relative energy among the computed polymorphs is 0 meV per atom. As for the space group: F-43m, No. 216. The calculation puts the formation energy at -0.079 eV per atom.